Below is an optimized crystal structure of Sr2ScAsO6, with properties calculated at the GGA-PBE level.

a = 9.9714 Å, b = 9.9714 Å, c = 9.9714 Å
α = 32.94°, β = 32.94°, γ = 32.94°
Atoms (fractional coordinates):
Sr1 0.1334 0.1334 0.1334
Sr2 0.2807 0.2807 0.2807
Sr3 0.7193 0.7193 0.7193
Sr4 0.8666 0.8666 0.8666
Sc1 0.4051 0.4051 0.4051
Sc2 0.5949 0.5949 0.5949
As1 0.0000 0.0000 0.0000
As2 0.5000 0.5000 0.5000
O1 0.1509 0.6156 0.6156
O2 0.1922 0.1922 0.7291
O3 0.1922 0.7291 0.1922
O4 0.2709 0.8078 0.8078
O5 0.3844 0.3844 0.8491
O6 0.3844 0.8491 0.3844
O7 0.6156 0.1509 0.6156
O8 0.6156 0.6156 0.1509
O9 0.7291 0.1922 0.1922
O10 0.8078 0.2709 0.8078
O11 0.8078 0.8078 0.2709
O12 0.8491 0.3844 0.3844

Computed properties:
ΔE_f (raw): -2.55 eV per atom
E_tot: -139.12 eV for the cell shown
ρ: 4.98 g/cm3
Space-group type: R-3m, No. 166